Record 1
Ag2PbCl PBE-GGA relaxed; formation energy without anion corrections = -0.166 eV per atom; polymorph energy (0 for the lowest one) = 0 meV per atom; Fermi-level density of states = 0.44 states/eV/atom; M_tot = 0.0 μB per formula unit
1.0
3.488 0.000 0.000
0.000 3.622 0.000
-1.727 0.000 7.452
Ag Pb Cl
2 1 1
Direct
0.000 0.000 0.000
0.408 0.500 0.813
0.785 0.000 0.564
0.133 0.500 0.260



Record 2
AgPb2Cl2 PBE-GGA relaxed; formation energy without anion corrections = -0.391 eV per atom; polymorph energy (0 for the lowest one) = 0 meV per atom; Fermi-level density of states = 0.20 states/eV/atom; M_tot = 0.0 μB per formula unit
1.0
7.960 0.000 0.000
0.000 7.960 0.000
0.000 0.000 4.759
Ag Pb Cl
2 4 4
Direct
0.000 0.000 0.000
0.500 0.500 0.000
0.200 0.300 0.000
0.300 0.800 0.000
0.700 0.200 0.000
0.800 0.700 0.000
0.159 0.659 0.500
0.341 0.159 0.500
0.659 0.841 0.500
0.841 0.341 0.500



Record 3
Ag2PbCl PBE-GGA relaxed; formation energy without anion corrections = -0.016 eV per atom; polymorph energy (0 for the lowest one) = 151 meV per atom; Fermi-level density of states = 0.13 states/eV/atom; M_tot = 0.0 μB per formula unit
1.0
2.908 -4.384 0.000
2.908 4.384 0.000
0.000 0.000 3.684
Ag Pb Cl
2 1 1
Direct
0.000 0.500 0.000
0.500 0.000 0.000
0.000 0.000 0.500
0.500 0.500 0.500



Record 4
Ag2PbCl PBE-GGA relaxed; formation energy without anion corrections = 0.016 eV per atom; polymorph energy (0 for the lowest one) = 183 meV per atom; Fermi-level density of states = 0.29 states/eV/atom; M_tot = 0.0 μB per formula unit
1.0
-2.122 2.122 5.108
2.122 -2.122 5.108
2.122 2.122 -5.108
Ag Pb Cl
2 1 1
Direct
0.000 0.000 0.000
0.750 0.250 0.500
0.500 0.500 0.000
0.250 0.750 0.500